[1]
KBe2Rh | PBE | relaxed

Calculated values
Space-group type ... No. 12
Calculated volume ... 19.64 Å³/atom
Final energy ... -3.97 eV/atom
ΔE_f ... 0.00 eV/atom
Distance to the lowest polymorph of the same formula ... 0.31 eV/f.u.

CIF file:
```
data_KBe2Rh
_cell_length_a 3.888
_cell_length_b 3.888
_cell_length_c 6.316
_cell_angle_alpha 72.10
_cell_angle_beta 72.10
_cell_angle_gamma 61.81
_symmetry_space_group_name_H-M 'P 1'
_symmetry_Int_Tables_number 1
_symmetry_space_group_name_Hall 'P 1'
loop_
_atom_site_label
_atom_site_fract_x
_atom_site_fract_y
_atom_site_fract_z
_atom_site_occupancy
Be1 0.923 0.923 0.223 1
Rh1 0.250 0.250 0.250 1
K1 0.750 0.750 0.750 1
Be2 0.577 0.577 0.277 1
```


[2]
La2YGe | PBE | relaxed

Calculated values
Space-group type ... No. 123
Calculated volume ... 28.11 Å³/atom
Final energy ... -5.59 eV/atom
ΔE_f ... -0.36 eV/atom

CIF file:
```
data_La2YGe
_cell_length_a 4.985
_cell_length_b 4.749
_cell_length_c 4.749
_cell_angle_alpha 90.00
_cell_angle_beta 90.00
_cell_angle_gamma 90.00
_symmetry_space_group_name_H-M 'P 1'
_symmetry_Int_Tables_number 1
_symmetry_space_group_name_Hall 'P 1'
loop_
_atom_site_label
_atom_site_fract_x
_atom_site_fract_y
_atom_site_fract_z
_atom_site_occupancy
Ge1 0.500 0.500 0.500 1
Y1 0.500 0.000 0.000 1
La1 0.000 0.000 0.500 1
La2 0.000 0.500 0.000 1
```


[3]
La4PNO2 | PBE | relaxed

Calculated values
Space-group type ... No. 121
Calculated volume ... 21.85 Å³/atom
Final energy ... -7.40 eV/atom
Raw formation energy ... -1977 meV/atom

CIF file:
```
data_La4PNO2
_cell_length_a 6.646
_cell_length_b 6.143
_cell_length_c 6.143
_cell_angle_alpha 65.49
_cell_angle_beta 57.25
_cell_angle_gamma 57.25
_symmetry_space_group_name_H-M 'P 1'
_symmetry_Int_Tables_number 1
_symmetry_space_group_name_Hall 'P 1'
loop_
_atom_site_label
_atom_site_fract_x
_atom_site_fract_y
_atom_site_fract_z
_atom_site_occupancy
La1 0.886 0.537 0.114 1
N1 0.500 0.500 0.500 1
La2 0.463 0.114 0.537 1
P1 0.000 0.000 0.000 1
O1 0.750 0.750 0.750 1
O2 0.250 0.250 0.250 1
La3 0.114 0.886 0.463 1
La4 0.537 0.463 0.886 1
```


Number 1: magnetic moment 0.00 μB/atom. Number 2: magnetic moment 0.00 μB/atom. Number 3: magnetic moment 0.00 μB/atom.